Here is a geometry-optimized Tl3ReBr2Cl6 structure from Alexandria. Energies are from PBE.

Its total DFT energy (no corrections) is -3.57 eV per atom. The calculation puts the volume at 33.5 A^3/atom. The value obtained for the uncorrected formation energy is -0.7373 eV per atom. The magnetic moment is 1.955 μB per formula unit. The crystal system is monoclinic.

The structure belongs to space group C2/m (No. 12); the cell edges are 15.829, 8.638 and 5.880 Å and the angles 90.00°, 90.57° and 90.00°. The distinct sites, in fractional coordinates, are Tl at (0.000, 0.000, 0.000), Tl at (0.250, 0.250, 0.500), Re at (0.000, 0.500, 0.500), Br at (0.191, 0.000, 0.132), Cl at (0.065, 0.308, 0.723) and Cl at (0.118, 0.500, 0.266).


Here is a geometry-optimized Re2POs structure from Alexandria. Energies are from PBE.

Its total DFT energy (no corrections) is -10.18 eV per atom. The formation energy comes out at 79 kJ/mol of formula units. The calculation puts the volume at 14.8 A^3/atom. The magnetic moment is 0.000 μB per formula unit. The crystal system is monoclinic.

The structure belongs to space group C2/m (No. 12); the cell edges are 9.534, 2.897 and 4.276 Å and the angles 90.00°, 90.41° and 90.00°. The distinct sites, in fractional coordinates, are Re at (0.217, 0.000, 0.239), P at (0.000, 0.000, 0.500) and Os at (0.000, 0.500, 0.000).


Here is a geometry-optimized YGa5Rh6 structure from Alexandria. Energies are from PBE.

Its total DFT energy (no corrections) is -6.20 eV per atom. The formation energy comes out at -840 kJ/mol of formula units. The calculation puts the volume at 14.9 A^3/atom. The magnetic moment is 0.000 μB per formula unit. The crystal system is monoclinic.

The structure belongs to space group P2/m (No. 10); the cell edges are 4.321, 6.396 and 6.836 Å and the angles 90.00°, 108.34° and 90.00°. The distinct sites, in fractional coordinates, are Y at (0.000, 0.000, 0.000), Ga at (0.000, 0.500, 0.000), Ga at (0.332, 0.000, 0.665), Ga at (0.334, 0.500, 0.669), Rh at (0.174, 0.260, 0.347) and Rh at (0.500, 0.274, 0.000).


Here is a geometry-optimized Co3Mo5 structure from Alexandria. Energies are from PBE.

Its total DFT energy (no corrections) is -9.35 eV per atom. The formation energy comes out at 66 kJ/mol of formula units. The calculation puts the volume at 13.9 A^3/atom. As for the energy above the most stable polymorph in this dataset: 0 meV/atom. The magnetic moment is 2.096 μB per formula unit. The crystal system is monoclinic.

The structure belongs to space group C2/m (No. 12); the cell edges are 4.769, 13.677 and 7.197 Å and the angles 90.00°, 108.23° and 90.00°. The distinct sites, in fractional coordinates, are Co at (0.000, 0.172, 0.000), Co at (0.000, 0.252, 0.500), Co at (0.153, 0.500, 0.347), Mo at (0.101, 0.323, 0.208), Mo at (0.169, 0.104, 0.354) and Mo at (0.249, 0.000, 0.998).


Here is a geometry-optimized Rb3PBr6 structure from Alexandria. Energies are from PBE.

Its total DFT energy (no corrections) is -2.93 eV per atom. The calculation puts the volume at 39.5 A^3/atom. The value obtained for the uncorrected formation energy is -1.0966 eV per atom. The magnetic moment is 0.000 μB per formula unit. The crystal system is cubic.

The structure belongs to space group Fm-3m (No. 225); the cell edges are 11.649, 11.649 and 11.649 Å and the angles 90.00°, 90.00° and 90.00°. The distinct sites, in fractional coordinates, are Rb at (0.000, 0.000, 0.000), Rb at (0.250, 0.250, 0.250), P at (0.000, 0.000, 0.500) and Br at (0.000, 0.000, 0.278).


Here is a geometry-optimized LaTcBr2 structure from Alexandria. Energies are from PBE.

Its total DFT energy (no corrections) is -5.07 eV per atom. The calculation puts the volume at 29.1 A^3/atom. The value obtained for the uncorrected formation energy is -0.4073 eV per atom. As for the energy above the most stable polymorph in this dataset: 154 meV/atom. The magnetic moment is 0.000 μB per formula unit. The crystal system is trigonal.

The structure belongs to space group R3m (No. 160, hexagonal axes); the cell edges are 4.2560, 4.2560 and 22.2596 Å and the angles 90.00°, 90.00° and 120.00°. The distinct sites, in fractional coordinates, are La at (0.0000, 0.0000, 0.0000), Tc at (0.0000, 0.0000, 0.7499), Br at (0.0000, 0.0000, 0.2461) and Br at (0.0000, 0.0000, 0.4303).


Please write out number 5 again, unchanged.
Here is a geometry-optimized Rb3PBr6 structure from Alexandria. Energies are from PBE.

Its total DFT energy (no corrections) is -2.93 eV per atom. The calculation puts the volume at 39.5 A^3/atom. The value obtained for the uncorrected formation energy is -1.0966 eV per atom. The magnetic moment is 0.000 μB per formula unit. The crystal system is cubic.

The structure belongs to space group Fm-3m (No. 225); the cell edges are 11.649, 11.649 and 11.649 Å and the angles 90.00°, 90.00° and 90.00°. The distinct sites, in fractional coordinates, are Rb at (0.000, 0.000, 0.000), Rb at (0.250, 0.250, 0.250), P at (0.000, 0.000, 0.500) and Br at (0.000, 0.000, 0.278).